(1)
VASP calculation (PBE) on an optimized crystal structure of Zn2NiH2.

```
data_Zn2NiH2
_chemical_formula_sum 'Zn4 Ni2 H4'
_symmetry_space_group_name_H-M 'P 1'
_symmetry_Int_Tables_number 1
_symmetry_space_group_name_Hall 'P 1'
_cell_length_a 6.4117
_cell_length_b 6.4117
_cell_length_c 2.4766
_cell_angle_alpha 90.00
_cell_angle_beta 90.00
_cell_angle_gamma 90.00
loop_
_atom_site_label
_atom_site_fract_x
_atom_site_fract_y
_atom_site_fract_z
_atom_site_occupancy
Zn1 0.1531 0.3469 0.0000 1
Zn2 0.3469 0.8469 0.0000 1
Zn3 0.6531 0.1531 0.0000 1
Zn4 0.8469 0.6531 0.0000 1
Ni1 0.0000 0.0000 0.0000 1
Ni2 0.5000 0.5000 0.0000 1
H1 0.1244 0.6244 0.5000 1
H2 0.3756 0.1244 0.5000 1
H3 0.6244 0.8756 0.5000 1
H4 0.8756 0.3756 0.5000 1
```

Summary:
The magnetic moment comes out at 0.0 μB/f.u. The value obtained for the distance to the lowest polymorph of the same formula is 0.555 eV per atom. As for the density of states at the Fermi level: 4.25 states/eV per cell. The space-group type is No. 127. Its calculated total energy is -23.78 eV per cell.

(2)
VASP calculation (PBE) on an optimized crystal structure of Zn2Ni5H4.

```
data_Zn2Ni5H4
_chemical_formula_sum 'Zn2 Ni5 H4'
_symmetry_space_group_name_H-M 'P 1'
_symmetry_Int_Tables_number 1
_symmetry_space_group_name_Hall 'P 1'
_cell_length_a 6.3516
_cell_length_b 5.4225
_cell_length_c 4.7831
_cell_angle_alpha 76.69
_cell_angle_beta 56.18
_cell_angle_gamma 47.13
loop_
_atom_site_label
_atom_site_fract_x
_atom_site_fract_y
_atom_site_fract_z
_atom_site_occupancy
Zn1 0.1357 0.1357 0.8643 1
Zn2 0.8643 0.8643 0.1357 1
Ni1 0.0000 0.0000 0.5000 1
Ni2 0.2500 0.2500 0.2500 1
Ni3 0.5000 0.5000 0.0000 1
Ni4 0.5000 0.5000 0.5000 1
Ni5 0.7500 0.7500 0.7500 1
H1 0.1942 0.5574 0.4426 1
H2 0.4426 0.8058 0.1942 1
H3 0.5574 0.1942 0.8058 1
H4 0.8058 0.4426 0.5574 1
```

Summary:
The magnetic moment comes out at 0.0 μB/f.u. As for the density of states at the Fermi level: 6.07 states/eV per cell. The space-group type is No. 69. Its calculated total energy is -44.89 eV per cell.

(3)
VASP calculation (PBE) on an optimized crystal structure of ZnNi3H.

```
data_ZnNi3H
_chemical_formula_sum 'Zn1 Ni3 H1'
_symmetry_space_group_name_H-M 'P 1'
_symmetry_Int_Tables_number 1
_symmetry_space_group_name_Hall 'P 1'
_cell_length_a 3.4148
_cell_length_b 3.4148
_cell_length_c 5.8968
_cell_angle_alpha 90.00
_cell_angle_beta 90.00
_cell_angle_gamma 90.00
loop_
_atom_site_label
_atom_site_fract_x
_atom_site_fract_y
_atom_site_fract_z
_atom_site_occupancy
Zn1 0.0000 0.0000 0.0000 1
Ni1 0.0000 0.0000 0.5988 1
Ni2 0.0000 0.5000 0.3177 1
Ni3 0.5000 0.0000 0.3177 1
H1 0.5000 0.5000 0.2794 1
```

Summary:
The magnetic moment comes out at 1.0 μB/f.u. The value obtained for the distance to the lowest polymorph of the same formula is 0.553 eV per atom. As for the density of states at the Fermi level: 7.41 states/eV per cell. The space-group type is No. 99. Its calculated total energy is -20.02 eV per cell.

(4)
VASP calculation (PBE) on an optimized crystal structure of ZnNi3H.

```
data_ZnNi3H
_chemical_formula_sum 'Zn2 Ni6 H2'
_symmetry_space_group_name_H-M 'P 1'
_symmetry_Int_Tables_number 1
_symmetry_space_group_name_Hall 'P 1'
_cell_length_a 4.0187
_cell_length_b 4.0187
_cell_length_c 7.1558
_cell_angle_alpha 90.00
_cell_angle_beta 90.00
_cell_angle_gamma 120.00
loop_
_atom_site_label
_atom_site_fract_x
_atom_site_fract_y
_atom_site_fract_z
_atom_site_occupancy
Zn1 0.3333 0.6667 0.2500 1
Zn2 0.6667 0.3333 0.7500 1
Ni1 0.0000 0.0000 0.2500 1
Ni2 0.0000 0.0000 0.7500 1
Ni3 0.3333 0.6667 0.5812 1
Ni4 0.3333 0.6667 0.9188 1
Ni5 0.6667 0.3333 0.0812 1
Ni6 0.6667 0.3333 0.4188 1
H1 0.0000 0.0000 0.0000 1
H2 0.0000 0.0000 0.5000 1
```

Summary:
The magnetic moment comes out at 0.2 μB/f.u. The value obtained for the distance to the lowest polymorph of the same formula is 0.283 eV per atom. As for the density of states at the Fermi level: 8.58 states/eV per cell. The space-group type is No. 194. Its calculated total energy is -42.75 eV per cell.

(5)
VASP calculation (PBE) on an optimized crystal structure of Zn2Ni5H.

```
data_Zn2Ni5H
_chemical_formula_sum 'Zn2 Ni5 H1'
_symmetry_space_group_name_H-M 'P 1'
_symmetry_Int_Tables_number 1
_symmetry_space_group_name_Hall 'P 1'
_cell_length_a 4.9986
_cell_length_b 4.9986
_cell_length_c 3.6074
_cell_angle_alpha 90.00
_cell_angle_beta 90.00
_cell_angle_gamma 90.00
loop_
_atom_site_label
_atom_site_fract_x
_atom_site_fract_y
_atom_site_fract_z
_atom_site_occupancy
Zn1 0.0000 0.5000 0.0000 1
Zn2 0.5000 0.0000 0.0000 1
Ni1 0.0000 0.0000 0.0000 1
Ni2 0.2576 0.2576 0.5000 1
Ni3 0.2576 0.7424 0.5000 1
Ni4 0.7424 0.2576 0.5000 1
Ni5 0.7424 0.7424 0.5000 1
H1 0.0000 0.0000 0.5000 1
```

Summary:
The magnetic moment comes out at 0.9 μB/f.u. As for the density of states at the Fermi level: 11.31 states/eV per cell. The space-group type is No. 123. Its calculated total energy is -34.62 eV per cell.

(6)
VASP calculation (PBE) on an optimized crystal structure of Zn2NiH.

```
data_Zn2NiH
_chemical_formula_sum 'Zn2 Ni1 H1'
_symmetry_space_group_name_H-M 'P 1'
_symmetry_Int_Tables_number 1
_symmetry_space_group_name_Hall 'P 1'
_cell_length_a 4.0375
_cell_length_b 4.0375
_cell_length_c 4.0375
_cell_angle_alpha 60.00
_cell_angle_beta 60.00
_cell_angle_gamma 60.00
loop_
_atom_site_label
_atom_site_fract_x
_atom_site_fract_y
_atom_site_fract_z
_atom_site_occupancy
Zn1 0.2500 0.2500 0.2500 1
Zn2 0.7500 0.7500 0.7500 1
Ni1 0.0000 0.0000 0.0000 1
H1 0.5000 0.5000 0.5000 1
```

Summary:
The magnetic moment comes out at 0.0 μB/f.u. The value obtained for the distance to the lowest polymorph of the same formula is 0.213 eV per atom. As for the density of states at the Fermi level: 1.90 states/eV per cell. The space-group type is No. 225. Its calculated total energy is -9.96 eV per cell.